Here is a relaxed LaCe3B24 crystal from Alexandria via LeMat-Bulk. Energies are from GGA-PBEsol.

Results
For the formation energy from the elements, the calculation gives -0.53 eV per atom. Its crystal system is orthorhombic. As for the space-group type: Pmmm.

a = 4.1002 Å, b = 5.8005 Å, c = 11.5926 Å
α = 90.00°, β = 90.00°, γ = 90.00°
Fractional coordinates of all 28 atoms:
La1 0.0000 0.0000 0.0000
Ce1 0.0000 0.0000 0.5000
Ce2 0.0000 0.5000 0.2532
Ce3 0.0000 0.5000 0.7468
B1 0.1983 0.5000 0.5000
B2 0.1987 0.0000 0.2510
B3 0.1987 0.0000 0.7490
B4 0.1991 0.5000 0.0000
B5 0.5000 0.1511 0.1756
B6 0.5000 0.1507 0.3260
B7 0.5000 0.1507 0.6740
B8 0.5000 0.1511 0.8244
B9 0.5000 0.3494 0.4247
B10 0.5000 0.3494 0.5753
B11 0.5000 0.3500 0.0758
B12 0.5000 0.3500 0.9242
B13 0.5000 0.6500 0.0758
B14 0.5000 0.6500 0.9242
B15 0.5000 0.6506 0.4247
B16 0.5000 0.6506 0.5753
B17 0.5000 0.8489 0.1756
B18 0.5000 0.8493 0.3260
B19 0.5000 0.8493 0.6740
B20 0.5000 0.8489 0.8244
B21 0.8013 0.0000 0.2510
B22 0.8013 0.0000 0.7490
B23 0.8009 0.5000 0.0000
B24 0.8017 0.5000 0.5000

Here is a relaxed NaBi3Ir crystal from Alexandria via LeMat-Bulk. Energies are from GGA-PBEsol.

Results
For the formation energy from the elements, the calculation gives 1.43 eV per atom. Its crystal system is cubic. As for the space-group type: Pm-3m.

a = 5.1665 Å, b = 5.1665 Å, c = 5.1665 Å
α = 90.00°, β = 90.00°, γ = 90.00°
Fractional coordinates of all 5 atoms:
Na1 0.0000 0.0000 0.0000
Bi1 0.0000 0.0000 0.5000
Bi2 0.0000 0.5000 0.0000
Bi3 0.5000 0.0000 0.0000
Ir1 0.5000 0.5000 0.5000

Here is a relaxed Li3MgO crystal from Alexandria via LeMat-Bulk. Energies are from GGA-PBEsol.

Results
Its total energy is -3.371 eV per atom. Its crystal system is cubic. As for the space-group type: Pm-3m.

a = 4.0688 Å, b = 4.0688 Å, c = 4.0688 Å
α = 90.00°, β = 90.00°, γ = 90.00°
Fractional coordinates of all 5 atoms:
Li1 0.0000 0.0000 0.5000
Li2 0.0000 0.5000 0.0000
Li3 0.5000 0.0000 0.0000
Mg1 0.5000 0.5000 0.5000
O1 0.0000 0.0000 0.0000

Here is a relaxed K3Fe2Se4 crystal from Alexandria via LeMat-Bulk. Energies are from GGA-PBEsol.

Results
Its total energy is -4.786 eV per atom. Its crystal system is orthorhombic. As for the space-group type: Pnma.

a = 7.2867 Å, b = 10.8261 Å, c = 12.0780 Å
α = 90.00°, β = 90.00°, γ = 90.00°
Fractional coordinates of all 36 atoms:
K1 0.0847 0.0664 0.1340
K2 0.0847 0.4336 0.1340
K3 0.0901 0.2500 0.7583
K4 0.4099 0.7500 0.2583
K5 0.4153 0.5664 0.6340
K6 0.4153 0.9336 0.6340
K7 0.5847 0.0664 0.3660
K8 0.5847 0.4336 0.3660
K9 0.5901 0.2500 0.7417
K10 0.9099 0.7500 0.2417
K11 0.9153 0.5664 0.8660
K12 0.9153 0.9336 0.8660
Fe1 0.0565 0.1317 0.4711
Fe2 0.0565 0.3683 0.4711
Fe3 0.4435 0.6317 0.9711
Fe4 0.4435 0.8683 0.9711
Fe5 0.5565 0.1317 0.0289
Fe6 0.5565 0.3683 0.0289
Fe7 0.9435 0.6317 0.5289
Fe8 0.9435 0.8683 0.5289
Se1 0.0735 0.7500 0.6714
Se2 0.1535 0.5571 0.3914
Se3 0.1535 0.9429 0.3914
Se4 0.1853 0.7500 0.0325
Se5 0.3147 0.2500 0.5325
Se6 0.3465 0.0571 0.8914
Se7 0.3465 0.4429 0.8914
Se8 0.4265 0.2500 0.1714
Se9 0.5735 0.7500 0.8286
Se10 0.6535 0.5571 0.1086
Se11 0.6535 0.9429 0.1086
Se12 0.6853 0.7500 0.4675
Se13 0.8147 0.2500 0.9675
Se14 0.8465 0.0571 0.6086
Se15 0.8465 0.4429 0.6086
Se16 0.9265 0.2500 0.3286

no.,DOS at the Fermi energy (states/eV/cell)
1,13.85
2,3.06
3,2.21
4,15.74